(1)
DFT (PBE) results for a geometry-optimized RbErCuTe2 structure.

abc: 4.450 8.679 8.796
angles: 94.25 90.00 90.00
Atoms (fractional coordinates):
Er 0.497 0.000 0.250
Er 0.503 0.000 0.750
Te 0.630 0.770 0.984
Te 0.370 0.770 0.484
Te 0.630 0.230 0.516
Te 0.370 0.230 0.016
Rb 0.096 0.500 0.750
Rb 0.904 0.500 0.250
Cu 0.000 0.000 0.000
Cu 0.000 0.000 0.500

**Energy**: -3.9255 eV/atom


(2)
DFT (PBE) results for a geometry-optimized ErScCuRe structure.

abc: 4.714 4.714 4.714
angles: 60.00 60.00 60.00
Atoms (fractional coordinates):
Er 0.000 0.000 0.000
Cu 0.250 0.250 0.250
Sc 0.500 0.500 0.500
Re 0.750 0.750 0.750

**Energy**: -6.9166 eV/atom


(3)
DFT (PBE) results for a geometry-optimized ErTmCuRe structure.

abc: 4.819 4.819 4.819
angles: 60.00 60.00 60.00
Atoms (fractional coordinates):
Er 0.500 0.500 0.500
Tm 0.000 0.000 0.000
Cu 0.250 0.250 0.250
Re 0.750 0.750 0.750

**Energy**: -6.4169 eV/atom


no.,total moment (Bohr magnetons per cell)
1,0.00
2,0.00
3,0.00